Here is crystalline LiCrAg at its relaxed geometry from the Alexandria database. Energies are from PBE.

abc: 2.9564 4.3559 14.0064
angles: 90.00 90.00 90.00
Atoms (fractional coordinates):
Li  0.0000  0.0000  0.0000
Li  0.0000  0.5000  0.5000
Li  0.5000  0.0000  0.5000
Li  0.5000  0.5000  0.0000
Cr  0.0000  0.0000  0.6634
Cr  0.0000  0.5000  0.1634
Cr  0.5000  0.0000  0.1634
Cr  0.5000  0.5000  0.6634
Ag  0.0000  0.0000  0.3335
Ag  0.0000  0.5000  0.8335
Ag  0.5000  0.0000  0.8335
Ag  0.5000  0.5000  0.3335

Computed properties:
formation enthalpy at 0 K	0.48	eV per atom
calculated volume	15.03	Å³/atom
E	-51.8	eV for the cell shown
crystal system	orthorhombic

=====

Here is crystalline Ba3UNi2S6 at its relaxed geometry from the Alexandria database. Energies are from PBE.

abc: 7.2149 7.2149 7.9327
angles: 90.00 90.00 120.00
Atoms (fractional coordinates):
Ba  0.0000  0.0000  0.0000
Ba  0.3333  0.6667  0.6390
Ba  0.6667  0.3333  0.3610
U  0.0000  0.0000  0.5000
Ni  0.3333  0.6667  0.2483
Ni  0.6667  0.3333  0.7517
S  0.1654  0.3309  0.2993
S  0.1654  0.8346  0.2993
S  0.3309  0.1654  0.7007
S  0.6691  0.8346  0.2993
S  0.8346  0.1654  0.7007
S  0.8346  0.6691  0.7007

Computed properties:
E_form (uncorrected)	-1.309	eV per atom
calculated volume	29.80	Å³/atom
E	-69.1	eV for the cell shown
crystal system	trigonal

=====

Here is crystalline LaTbPrHo at its relaxed geometry from the Alexandria database. Energies are from PBE.

abc: 8.1869 8.1869 8.1869
angles: 90.00 90.00 90.00
Atoms (fractional coordinates):
La  0.0000  0.0000  0.0000
La  0.0000  0.5000  0.5000
La  0.5000  0.0000  0.5000
La  0.5000  0.5000  0.0000
Tb  0.2500  0.2500  0.2500
Tb  0.2500  0.7500  0.7500
Tb  0.7500  0.2500  0.7500
Tb  0.7500  0.7500  0.2500
Pr  0.0000  0.0000  0.5000
Pr  0.0000  0.5000  0.0000
Pr  0.5000  0.0000  0.0000
Pr  0.5000  0.5000  0.5000
Ho  0.2500  0.2500  0.7500
Ho  0.2500  0.7500  0.2500
Ho  0.7500  0.2500  0.2500
Ho  0.7500  0.7500  0.7500

Computed properties:
formation enthalpy at 0 K	0.10	eV per atom
calculated volume	34.30	Å³/atom
E	-74.1	eV for the cell shown
crystal system	cubic

=====

Here is crystalline KFeBr2 at its relaxed geometry from the Alexandria database. Energies are from PBE.

abc: 7.3426 4.1652 7.3618
angles: 90.00 109.06 90.00
Atoms (fractional coordinates):
K  0.0000  0.0000  0.0000
K  0.5000  0.5000  0.0000
Fe  0.0000  0.5000  0.5000
Fe  0.5000  0.0000  0.5000
Br  0.2288  0.0000  0.6906
Br  0.2712  0.5000  0.3094
Br  0.7288  0.5000  0.6906
Br  0.7712  0.0000  0.3094

Computed properties:
E_form (uncorrected)	-0.533	eV per atom
calculated volume	26.60	Å³/atom
E	-30.1	eV for the cell shown
crystal system	monoclinic

=====

Here is crystalline Nd4Sm2Th3 at its relaxed geometry from the Alexandria database. Energies are from PBE.

abc: 3.6047 3.6047 27.2836
angles: 90.00 90.00 120.00
Atoms (fractional coordinates):
Nd  0.0000  0.0000  0.0000
Nd  0.0000  0.0000  0.2161
Nd  0.3333  0.6667  0.3309
Nd  0.3333  0.6667  0.5483
Sm  0.0000  0.0000  0.6604
Sm  0.0000  0.0000  0.8740
Th  0.0000  0.0000  0.4394
Th  0.3333  0.6667  0.1070
Th  0.3333  0.6667  0.7688

Computed properties:
formation enthalpy at 0 K	0.09	eV per atom
calculated volume	34.11	Å³/atom
E	-50.0	eV for the cell shown
crystal system	trigonal

=====

Here is crystalline Si2AgTe at its relaxed geometry from the Alexandria database. Energies are from PBE.

abc: 3.6408 4.0875 11.1874
angles: 90.00 90.00 90.00
Atoms (fractional coordinates):
Si  0.0000  0.0000  0.0000
Si  0.0000  0.5000  0.3496
Si  0.5000  0.0000  0.8496
Si  0.5000  0.5000  0.5000
Ag  0.0000  0.5000  0.8320
Ag  0.5000  0.0000  0.3320
Te  0.0000  0.0000  0.6420
Te  0.5000  0.5000  0.1420

Computed properties:
E_form (uncorrected)	0.399	eV per atom
calculated volume	20.81	Å³/atom
E	-30.5	eV for the cell shown
crystal system	orthorhombic

=====

Here is crystalline ThZrAg2 at its relaxed geometry from the Alexandria database. Energies are from PBE.

abc: 4.5616 4.5616 4.3954
angles: 90.00 90.00 90.00
Atoms (fractional coordinates):
Th  0.0000  0.0000  0.0000
Zr  0.5000  0.5000  0.0000
Ag  0.0000  0.5000  0.5000
Ag  0.5000  0.0000  0.5000

Computed properties:
formation enthalpy at 0 K	0.02	eV per atom
calculated volume	22.87	Å³/atom
E	-21.6	eV for the cell shown
crystal system	tetragonal

=====

Here is crystalline Np2Nb2S7 at its relaxed geometry from the Alexandria database. Energies are from PBE.

abc: 8.2064 8.2064 8.2064
angles: 154.46 66.54 119.73
Atoms (fractional coordinates):
Np  0.2318  0.0000  0.2318
Np  0.7682  0.0000  0.7682
Nb  0.3195  0.8195  0.5000
Nb  0.7696  0.7696  0.0000
S  0.0455  0.7168  0.3287
S  0.0878  0.0878  0.0000
S  0.3881  0.7168  0.6713
S  0.4014  0.5017  0.8997
S  0.6019  0.5017  0.1003
S  0.6751  0.3054  0.3696
S  0.9358  0.3054  0.6304

Computed properties:
E_form (uncorrected)	-1.038	eV per atom
calculated volume	18.64	Å³/atom
E	-86.3	eV for the cell shown
crystal system	orthorhombic